(1)
FeCu2P: relaxed, GGA-PBE.

Values from the calculation:
For the calculated total energy, the calculation gives -5.414 eV/atom.

a = 4.869 Å, b = 9.015 Å, c = 2.575 Å
α = 90.00°, β = 121.34°, γ = 90.00°
Space group C2/m (No. 12)
Unique sites:
Fe  0.000  0.000  0.000
Cu  0.250  0.250  0.500
P  0.000  0.500  0.000

(2)
Fe2Cu2P: relaxed, GGA-PBE.

Values from the calculation:
For the calculated total energy, the calculation gives -6.086 eV/atom.

a = 5.522 Å, b = 5.522 Å, c = 3.991 Å
α = 90.00°, β = 90.00°, γ = 90.00°
Space group P4/mbm (No. 127)
Unique sites:
Fe  0.144  0.356  0.000
Cu  0.161  0.661  0.500
P  0.000  0.000  0.000

(3)
FeCu2P: relaxed, GGA-PBE.

Values from the calculation:
For the calculated total energy, the calculation gives -5.532 eV/atom.

a = 2.805 Å, b = 2.805 Å, c = 5.958 Å
α = 90.00°, β = 90.00°, γ = 90.00°
Space group P4mm (No. 99)
Unique sites:
Fe  0.000  0.000  0.000
Cu  0.000  0.000  0.453
Cu  0.500  0.500  0.716
P  0.500  0.500  0.176

(4)
FeCu2P2: relaxed, GGA-PBE.

Values from the calculation:
For the calculated total energy, the calculation gives -5.608 eV/atom.

a = 5.658 Å, b = 5.658 Å, c = 4.053 Å
α = 90.00°, β = 90.00°, γ = 90.00°
Space group P4/mbm (No. 127)
Unique sites:
Fe  0.000  0.000  0.000
Cu  0.231  0.269  0.500
P  0.136  0.636  0.000

(5)
FeCuP: relaxed, GGA-PBE.

Values from the calculation:
For the calculated total energy, the calculation gives -6.145 eV/atom.

a = 5.297 Å, b = 5.297 Å, c = 5.297 Å
α = 90.00°, β = 90.00°, γ = 90.00°
Space group F-43m (No. 216)
Unique sites:
Fe  0.000  0.000  0.000
Cu  0.000  0.000  0.500
P  0.250  0.250  0.250

(6)
FeCu2P: relaxed, GGA-PBE.

Values from the calculation:
For the calculated total energy, the calculation gives -5.263 eV/atom.

a = 2.6258 Å, b = 2.6258 Å, c = 24.7296 Å
α = 90.00°, β = 90.00°, γ = 120.00°
Space group R-3m (No. 166, hexagonal axes)
Unique sites:
Fe  0.0000  0.0000  0.0000
Cu  0.0000  0.0000  0.2480
P  0.0000  0.0000  0.5000

(7)
FeCu2P: relaxed, GGA-PBE.

Values from the calculation:
For the calculated total energy, the calculation gives -5.503 eV/atom.

a = 8.117 Å, b = 2.812 Å, c = 4.548 Å
α = 90.00°, β = 112.40°, γ = 90.00°
Space group Cm (No. 8)
Unique sites:
Fe  0.000  0.000  0.000
Cu  0.057  0.500  0.561
Cu  0.289  0.500  0.372
P  0.279  0.000  0.948

(8)
FeCuP: relaxed, GGA-PBE.

Values from the calculation:
For the calculated total energy, the calculation gives -6.037 eV/atom.

a = 2.815 Å, b = 2.815 Å, c = 8.782 Å
α = 90.00°, β = 90.00°, γ = 90.00°
Space group I4mm (No. 107)
Unique sites:
Fe  0.000  0.000  0.000
Cu  0.000  0.000  0.700
P  0.000  0.000  0.382

(9)
FeCuP: relaxed, GGA-PBE.

Values from the calculation:
For the calculated total energy, the calculation gives -6.051 eV/atom.

a = 3.7160 Å, b = 3.7160 Å, c = 2.9873 Å
α = 90.00°, β = 90.00°, γ = 120.00°
Space group P3m1 (No. 156)
Unique sites:
Fe  0.0000  0.0000  0.0000
Cu  0.6667  0.3333  0.5037
P  0.3333  0.6667  0.0501

(10)
FeCuP6: relaxed, GGA-PBE.

Values from the calculation:
For the calculated total energy, the calculation gives -5.830 eV/atom.

a = 11.102 Å, b = 7.827 Å, c = 7.882 Å
α = 90.00°, β = 134.47°, γ = 90.00°
Space group C2/m (No. 12)
Unique sites:
Fe  0.250  0.250  0.000
Cu  0.250  0.250  0.500
P  0.013  0.142  0.869
P  0.137  0.500  0.278
P  0.141  0.354  0.654
P  0.154  0.500  0.009

(11)
FeCu2P: relaxed, GGA-PBE.

Values from the calculation:
For the calculated total energy, the calculation gives -5.360 eV/atom.

a = 4.757 Å, b = 7.738 Å, c = 2.659 Å
α = 90.00°, β = 90.00°, γ = 90.00°
Space group Cmmm (No. 65)
Unique sites:
Fe  0.000  0.000  0.000
Cu  0.250  0.250  0.500
P  0.000  0.500  0.000

(12)
FeCu2P: relaxed, GGA-PBE.

Values from the calculation:
For the calculated total energy, the calculation gives -5.409 eV/atom.

a = 3.440 Å, b = 3.440 Å, c = 8.034 Å
α = 90.00°, β = 90.00°, γ = 90.00°
Space group I4/mmm (No. 139)
Unique sites:
Fe  0.000  0.000  0.000
Cu  0.000  0.500  0.250
P  0.000  0.000  0.500

(13)
FeCu2P: relaxed, GGA-PBE.

Values from the calculation:
For the calculated total energy, the calculation gives -5.370 eV/atom.

a = 2.760 Å, b = 3.657 Å, c = 4.862 Å
α = 90.00°, β = 90.00°, γ = 90.00°
Space group Pmmm (No. 47)
Unique sites:
Fe  0.000  0.000  0.000
Cu  0.500  0.500  0.248
P  0.000  0.000  0.500

(14)
FeCuP4: relaxed, GGA-PBE.

Values from the calculation:
For the calculated total energy, the calculation gives -4.974 eV/atom.

a = 7.014 Å, b = 7.014 Å, c = 7.014 Å
α = 90.00°, β = 90.00°, γ = 90.00°
Space group F-43m (No. 216)
Unique sites:
Fe  0.000  0.000  0.000
Cu  0.250  0.250  0.750
P  0.125  0.125  0.375

(15)
FeCu2P: relaxed, GGA-PBE.

Values from the calculation:
For the calculated total energy, the calculation gives -5.553 eV/atom.

a = 3.373 Å, b = 2.676 Å, c = 10.420 Å
α = 90.00°, β = 90.00°, γ = 90.00°
Space group Amm2 (No. 38)
Unique sites:
Fe  0.000  0.000  0.000
Cu  0.000  0.000  0.725
Cu  0.500  0.000  0.347
P  0.500  0.000  0.570

(16)
FeCu2P: relaxed, GGA-PBE.

Values from the calculation:
For the calculated total energy, the calculation gives -5.428 eV/atom.

a = 3.622 Å, b = 3.622 Å, c = 7.114 Å
α = 90.00°, β = 90.00°, γ = 90.00°
Space group I-4m2 (No. 119)
Unique sites:
Fe  0.000  0.000  0.000
Cu  0.000  0.000  0.500
Cu  0.000  0.500  0.250
P  0.000  0.500  0.750

(17)
FeCu2P: relaxed, GGA-PBE.

Values from the calculation:
For the calculated total energy, the calculation gives -5.279 eV/atom.

a = 3.420 Å, b = 3.420 Å, c = 17.652 Å
α = 90.00°, β = 90.00°, γ = 90.00°
Space group I-42d (No. 122)
Unique sites:
Fe  0.000  0.000  0.000
Cu  0.246  0.250  0.625
P  0.000  0.000  0.500

(18)
Fe4CuP: relaxed, GGA-PBE.

Values from the calculation:
For the calculated total energy, the calculation gives -6.877 eV/atom.

a = 6.661 Å, b = 6.661 Å, c = 6.661 Å
α = 90.00°, β = 90.00°, γ = 90.00°
Space group F-43m (No. 216)
Unique sites:
Fe  0.125  0.125  0.125
Cu  0.000  0.000  0.500
P  0.250  0.250  0.750

(19)
FeCu2P: relaxed, GGA-PBE.

Values from the calculation:
For the calculated total energy, the calculation gives -5.291 eV/atom.

a = 2.551 Å, b = 2.551 Å, c = 7.752 Å
α = 90.00°, β = 90.00°, γ = 90.00°
Space group P4/mmm (No. 123)
Unique sites:
Fe  0.000  0.000  0.000
Cu  0.500  0.500  0.243
P  0.000  0.000  0.500

(20)
FeCu2P: relaxed, GGA-PBE.

Values from the calculation:
For the calculated total energy, the calculation gives -5.442 eV/atom.

a = 2.6901 Å, b = 2.6901 Å, c = 22.9274 Å
α = 90.00°, β = 90.00°, γ = 120.00°
Space group R3m (No. 160, hexagonal axes)
Unique sites:
Fe  0.0000  0.0000  0.0000
Cu  0.0000  0.0000  0.5112
Cu  0.0000  0.0000  0.7557
P  0.0000  0.0000  0.2652

Number 1: DFT formation energy 103 meV/atom. Number 2: DFT formation energy 20 meV/atom. Number 3: DFT formation energy -16 meV/atom. Number 4: DFT formation energy -113 meV/atom. Number 5: DFT formation energy -156 meV/atom. Number 6: DFT formation energy 253 meV/atom. Number 7: DFT formation energy 13 meV/atom. Number 8: DFT formation energy -48 meV/atom. Number 9: DFT formation energy -62 meV/atom. Number 10: DFT formation energy -202 meV/atom. Number 11: DFT formation energy 157 meV/atom. Number 12: DFT formation energy 107 meV/atom. Number 13: DFT formation energy 146 meV/atom. Number 14: DFT formation energy 726 meV/atom. Number 15: DFT formation energy -37 meV/atom. Number 16: DFT formation energy 88 meV/atom. Number 17: DFT formation energy 237 meV/atom. Number 18: DFT formation energy 349 meV/atom. Number 19: DFT formation energy 226 meV/atom. Number 20: DFT formation energy 74 meV/atom.